--- a ---
Computed, not measured: Zn2Ir2Pd after structural relaxation at the PBE-GGA level of DFT.

Lattice parameters (Å, degrees): 7.2280 7.2280 2.8357 90.00 90.00 90.00
Space group P4/mbm (No. 127)
One atom of each set of equivalent atoms:
Zn: 0.1262 0.3738 0.0000 [4 per cell]
Ir: 0.1724 0.6724 0.5000 [4 per cell]
Pd: 0.0000 0.0000 0.0000 [2 per cell]

Results
Mass density: 13.94 g/cm3
M_tot: 0.0 μB/f.u.
Crystal system: tetragonal

---

--- b ---
Computed, not measured: Zn2Ir2Pd after structural relaxation at the PBE-GGA level of DFT.

Lattice parameters (Å, degrees): 7.2325 7.2325 2.9006 90.00 90.00 90.00
Space group P4/mbm (No. 127)
One atom of each set of equivalent atoms:
Zn: 0.1723 0.3277 0.0000 [4 per cell]
Ir: 0.1264 0.6264 0.5000 [4 per cell]
Pd: 0.0000 0.0000 0.5000 [2 per cell]

Results
Mass density: 13.61 g/cm3
M_tot: 0.0 μB/f.u.
Crystal system: tetragonal

---

Stability summary: most stable b, least stable a.

---

--- a ---
Computed, not measured: Zn8Ir2Pd after structural relaxation at the PBE-GGA level of DFT.

Lattice parameters (Å, degrees): 4.2026 7.0289 11.1073 90.00 90.00 90.00
Space group Immm (No. 71)
One atom of each set of equivalent atoms:
Zn: 0.0000 0.0000 0.1430 [4 per cell]
Zn: 0.0000 0.2023 0.3513 [8 per cell]
Zn: 0.0000 0.3186 0.0000 [4 per cell]
Ir: 0.0000 0.5000 0.2107 [4 per cell]
Pd: 0.0000 0.5000 0.5000 [2 per cell]

Results
Mass density: 10.26 g/cm3
M_tot: 0.0 μB/f.u.
Crystal system: orthorhombic

---

--- b ---
Computed, not measured: Zn8Ir2Pd after structural relaxation at the PBE-GGA level of DFT.

Lattice parameters (Å, degrees): 7.8846 10.2602 4.1921 90.00 90.00 90.00
Space group Cmmm (No. 65)
One atom of each set of equivalent atoms:
Zn: 0.0000 0.2460 0.0000 [4 per cell]
Zn: 0.1676 0.1359 0.5000 [8 per cell]
Zn: 0.1695 0.5000 0.0000 [4 per cell]
Ir: 0.0000 0.3751 0.5000 [4 per cell]
Pd: 0.0000 0.0000 0.0000 [2 per cell]

Results
Mass density: 9.93 g/cm3
M_tot: 0.0 μB/f.u.
Crystal system: orthorhombic

---

Stability summary: most stable a, least stable b.

---

--- a ---
Computed, not measured: Zn6IrPd after structural relaxation at the PBE-GGA level of DFT.

Lattice parameters (Å, degrees): 5.8419 7.3812 10.8090 90.00 90.00 90.00
Space group Fmmm (No. 69)
One atom of each set of equivalent atoms:
Zn: 0.0000 0.0000 0.2457 [8 per cell]
Zn: 0.2500 0.2500 0.1213 [16 per cell]
Ir: 0.0000 0.0000 0.0000 [4 per cell]
Pd: 0.0000 0.0000 0.5000 [4 per cell]

Results
Mass density: 9.85 g/cm3
M_tot: 0.0 μB/f.u.
Crystal system: orthorhombic

---

--- b ---
Computed, not measured: Zn6IrPd after structural relaxation at the PBE-GGA level of DFT.

Lattice parameters (Å, degrees): 7.7246 10.9201 10.8622 90.00 90.00 90.00
Space group Cmmm (No. 65)
One atom of each set of equivalent atoms:
Zn: 0.0000 0.0000 0.0000 [2 per cell]
Zn: 0.0000 0.0000 0.5000 [2 per cell]
Zn: 0.0000 0.2501 0.2486 [8 per cell]
Zn: 0.0000 0.5000 0.0000 [2 per cell]
Zn: 0.0000 0.5000 0.5000 [2 per cell]
Zn: 0.2424 0.1266 0.1241 [16 per cell]
Zn: 0.2452 0.1239 0.3742 [16 per cell]
Ir: 0.0000 0.0000 0.2496 [4 per cell]
Ir: 0.0000 0.2627 0.0000 [4 per cell]
Pd: 0.0000 0.2580 0.5000 [4 per cell]
Pd: 0.0000 0.5000 0.2491 [4 per cell]

Results
Mass density: 10.02 g/cm3
M_tot: 0.0 μB/f.u.
Crystal system: orthorhombic

---

Stability summary: most stable b, least stable a.

---

--- a ---
Computed, not measured: Zn4IrPd after structural relaxation at the PBE-GGA level of DFT.

Lattice parameters (Å, degrees): 8.9634 2.8898 7.2797 90.00 113.77 90.00
Space group C2/m (No. 12)
One atom of each set of equivalent atoms:
Zn: 0.1642 0.0000 0.3272 [4 per cell]
Zn: 0.1636 0.0000 0.8352 [4 per cell]
Ir: 0.0000 0.5000 0.0000 [2 per cell]
Pd: 0.0000 0.5000 0.5000 [2 per cell]

Results
Mass density: 10.78 g/cm3
M_tot: 0.0 μB/f.u.
Crystal system: monoclinic

---

--- b ---
Computed, not measured: Zn4IrPd after structural relaxation at the PBE-GGA level of DFT.

Lattice parameters (Å, degrees): 4.2184 4.2184 5.9004 90.00 90.00 90.00
Space group P4/mmm (No. 123)
One atom of each set of equivalent atoms:
Zn: 0.0000 0.5000 0.2430 [4 per cell]
Ir: 0.0000 0.0000 0.0000 [1 per cell]
Pd: 0.5000 0.5000 0.5000 [1 per cell]

Results
Mass density: 8.86 g/cm3
M_tot: 0.0 μB/f.u.
Crystal system: tetragonal

---

Stability summary: most stable a, least stable b.